Record 1
Density functional theory data (PBE-GGA) for crystalline Pr2Y3Ag2 at its relaxed geometry.

## Properties
Energy relative to the elements = -9 kJ/mol of atoms
Density = 6.22 g/cm³

a = 9.4765 Å, b = 5.4718 Å, c = 8.4814 Å
α = 90.00°, β = 111.91°, γ = 90.00°
Closest atoms and distances in Å follow each position.
Space group C2/m (No. 12)
One atom of each set of equivalent atoms:
1 Pr 0.0763 0.0000 0.2285  4 Ag 3.22-3.33, 3 Y 3.58, 1 Pr 3.60
2 Y 0.0000 0.5000 0.5000  6 Ag 3.34-3.35
3 Y 0.1614 0.5000 0.9844  1 Ag 2.97, 3 Y 3.17
4 Ag 0.2123 0.0000 0.6383  1 Y 2.97, 1 Pr 3.22

Record 2
Density functional theory data (PBE-GGA) for crystalline CsSr2HgRh at its relaxed geometry.

## Properties
Energy relative to the elements = -10 kJ/mol of atoms
Density = 5.25 g/cm³

a = 5.8391 Å, b = 5.8391 Å, c = 5.6722 Å
α = 90.00°, β = 90.00°, γ = 90.00°
Closest atoms and distances in Å follow each position.
Space group P4/mmm (No. 123)
One atom of each set of equivalent atoms:
1 Cs 0.0000 0.0000 0.0000  8 Sr 4.07, 4 Hg 4.13
2 Sr 0.0000 0.5000 0.5000  2 Rh 2.92
3 Hg 0.5000 0.5000 0.0000  2 Rh 2.84
4 Rh 0.5000 0.5000 0.5000  2 Hg 2.84, 4 Sr 2.92

Record 3
Density functional theory data (PBE-GGA) for crystalline TmNi2Ir at its relaxed geometry.

## Properties
Energy relative to the elements = -36 kJ/mol of atoms
Density = 13.44 g/cm³

a = 3.9670 Å, b = 3.9670 Å, c = 3.7577 Å
α = 90.00°, β = 90.00°, γ = 90.00°
Closest atoms and distances in Å follow each position.
Space group P4/mmm (No. 123)
One atom of each set of equivalent atoms:
1 Tm 0.0000 0.0000 0.0000  8 Ni 2.73, 4 Ir 2.81
2 Ni 0.0000 0.5000 0.5000  4 Tm 2.73, 4 Ir 2.73, 4 Ni 2.81
3 Ir 0.5000 0.5000 0.0000  8 Ni 2.73, 4 Tm 2.81

> Among the records above, which one has the highest energy relative to the elements?

Pr2Y3Ag2

> Number 2 is which compound?

CsSr2HgRh